Entry 1:
An optimized crystal structure of Sc4Cu2Au. Source: the Alexandria database, functional PBE.

The structure in CIF format:
```
data_Sc4Cu2Au
_space_group_name_H-M_alt 'R -3 m'
_space_group_IT_number 166
_space_group_name_Hall '-R 3 2"'
_cell_length_a 4.6411
_cell_length_b 4.6411
_cell_length_c 22.2855
_cell_angle_alpha 90.00
_cell_angle_beta 90.00
_cell_angle_gamma 120.00
loop_
_atom_site_label
_atom_site_type_symbol
_atom_site_fract_x
_atom_site_fract_y
_atom_site_fract_z
_atom_site_occupancy
Sc1 Sc 0.0000 0.0000 0.1172 1
Sc2 Sc 0.0000 0.0000 0.3697 1
Cu1 Cu 0.0000 0.0000 0.2470 1
Au1 Au 0.0000 0.0000 0.5000 1
```

Computed properties:
DOS(E_F) = 0.82 states/eV/atom
energy relative to the elements = -0.29 eV per atom
calculated volume = 415.7 Å³ per cell
ρ = 6.038 g cm⁻³

Entry 2:
An optimized crystal structure of ScCu2Au. Source: the Alexandria database, functional PBE.

The structure in CIF format:
```
data_ScCu2Au
_space_group_name_H-M_alt 'C 1 2/m 1'
_space_group_IT_number 12
_space_group_name_Hall '-C 2y'
_cell_length_a 5.484
_cell_length_b 9.029
_cell_length_c 3.088
_cell_angle_alpha 90.00
_cell_angle_beta 119.97
_cell_angle_gamma 90.00
loop_
_atom_site_label
_atom_site_type_symbol
_atom_site_fract_x
_atom_site_fract_y
_atom_site_fract_z
_atom_site_occupancy
Sc1 Sc 0.000 0.000 0.000 1
Cu1 Cu 0.250 0.250 0.500 1
Au1 Au 0.000 0.500 0.000 1
```

Computed properties:
DOS(E_F) = 0.38 states/eV/atom
energy relative to the elements = -0.08 eV per atom
calculated volume = 132.5 Å³ per cell
ρ = 9.252 g cm⁻³

Entry 3:
An optimized crystal structure of ScCu8Au3. Source: the Alexandria database, functional PBE.

The structure in CIF format:
```
data_ScCu8Au3
_space_group_name_H-M_alt 'P 3 m 1'
_space_group_IT_number 156
_space_group_name_Hall 'P 3 -2"'
_cell_length_a 4.9374
_cell_length_b 4.9374
_cell_length_c 8.0302
_cell_angle_alpha 90.00
_cell_angle_beta 90.00
_cell_angle_gamma 120.00
loop_
_atom_site_label
_atom_site_type_symbol
_atom_site_fract_x
_atom_site_fract_y
_atom_site_fract_z
_atom_site_occupancy
Sc1 Sc 0.0000 0.0000 0.0000 1
Cu1 Cu 0.1646 0.3291 0.6864 1
Cu2 Cu 0.3333 0.6667 0.4365 1
Cu3 Cu 0.3333 0.6667 0.9378 1
Cu4 Cu 0.5023 0.0046 0.1905 1
Au1 Au 0.0000 0.0000 0.3692 1
Au2 Au 0.6667 0.3333 0.5033 1
Au3 Au 0.6667 0.3333 0.8832 1
```

Computed properties:
DOS(E_F) = 0.52 states/eV/atom
energy relative to the elements = -0.14 eV per atom
calculated volume = 169.5 Å³ per cell
ρ = 11.207 g cm⁻³

Entry 4:
An optimized crystal structure of ScCu2Au. Source: the Alexandria database, functional PBE.

The structure in CIF format:
```
data_ScCu2Au
_space_group_name_H-M_alt 'P 4 m m'
_space_group_IT_number 99
_space_group_name_Hall 'P 4 -2'
_cell_length_a 3.272
_cell_length_b 3.272
_cell_length_c 5.988
_cell_angle_alpha 90.00
_cell_angle_beta 90.00
_cell_angle_gamma 90.00
loop_
_atom_site_label
_atom_site_type_symbol
_atom_site_fract_x
_atom_site_fract_y
_atom_site_fract_z
_atom_site_occupancy
Sc1 Sc 0.000 0.000 0.000 1
Cu1 Cu 0.000 0.000 0.534 1
Cu2 Cu 0.500 0.500 0.727 1
Au1 Au 0.500 0.500 0.279 1
```

Computed properties:
DOS(E_F) = 0.49 states/eV/atom
energy relative to the elements = -0.31 eV per atom
calculated volume = 64.1 Å³ per cell
ρ = 9.560 g cm⁻³

Entry 5:
An optimized crystal structure of ScCu2Au. Source: the Alexandria database, functional PBE.

The structure in CIF format:
```
data_ScCu2Au
_space_group_name_H-M_alt 'P m m m'
_space_group_IT_number 47
_space_group_name_Hall '-P 2 2'
_cell_length_a 3.289
_cell_length_b 3.355
_cell_length_c 5.802
_cell_angle_alpha 90.00
_cell_angle_beta 90.00
_cell_angle_gamma 90.00
loop_
_atom_site_label
_atom_site_type_symbol
_atom_site_fract_x
_atom_site_fract_y
_atom_site_fract_z
_atom_site_occupancy
Sc1 Sc 0.000 0.000 0.000 1
Cu1 Cu 0.500 0.500 0.263 1
Au1 Au 0.000 0.000 0.500 1
```

Computed properties:
DOS(E_F) = 0.44 states/eV/atom
energy relative to the elements = -0.26 eV per atom
calculated volume = 64.0 Å³ per cell
ρ = 9.570 g cm⁻³

Entry 6:
An optimized crystal structure of ScCu6Au. Source: the Alexandria database, functional PBE.

The structure in CIF format:
```
data_ScCu6Au
_space_group_name_H-M_alt 'P m -3'
_space_group_IT_number 200
_space_group_name_Hall '-P 2 2 3'
_cell_length_a 4.840
_cell_length_b 4.840
_cell_length_c 4.840
_cell_angle_alpha 90.00
_cell_angle_beta 90.00
_cell_angle_gamma 90.00
loop_
_atom_site_label
_atom_site_type_symbol
_atom_site_fract_x
_atom_site_fract_y
_atom_site_fract_z
_atom_site_occupancy
Sc1 Sc 0.000 0.000 0.000 1
Cu1 Cu 0.000 0.252 0.500 1
Au1 Au 0.500 0.500 0.500 1
```

Computed properties:
DOS(E_F) = 0.43 states/eV/atom
energy relative to the elements = -0.03 eV per atom
calculated volume = 113.4 Å³ per cell
ρ = 9.128 g cm⁻³

> Number 3 is which compound?

ScCu8Au3

> Look up the ρ of the sixth one.

9.128 g cm⁻³